Record 1
Computed, not measured: a relaxed structure of CdTcSe2 at the PBE level of DFT.

Properties
Total magnetic moment (μB per cell): 0.0
Raw total energy (eV/atom): -4.032
E_form (uncorrected) (eV per atom): 0.53
Calculated volume (Å³/f.u.): 89

Cell lengths 3.4678, 3.4678, 25.6246 Å; angles 90.00, 90.00, 120.00 degrees
Space group R-3m (No. 166, hexagonal axes)
Unique sites:
Cd: 0.0000 0.0000 0.0000 [3 per cell]
Tc: 0.0000 0.0000 0.5000 [3 per cell]
Se: 0.0000 0.0000 0.4082 [6 per cell]

Record 2
Computed, not measured: a relaxed structure of CdTcSe2 at the PBE level of DFT.

Properties
Total magnetic moment (μB per cell): 0.0
Raw total energy (eV/atom): -4.534
E_form (uncorrected) (eV per atom): 0.03
Calculated volume (Å³/f.u.): 104

Cell lengths 6.082, 6.082, 11.200 Å; angles 90.00, 90.00, 90.00 degrees
Space group I-42d (No. 122)
Unique sites:
Cd: 0.000 0.000 0.000 [4 per cell]
Tc: 0.000 0.000 0.500 [4 per cell]
Se: 0.204 0.250 0.625 [8 per cell]

Record 3
Computed, not measured: a relaxed structure of CdTcSe2 at the PBE level of DFT.

Properties
Total magnetic moment (μB per cell): 3.0
Raw total energy (eV/atom): -4.197
E_form (uncorrected) (eV per atom): 0.37
Calculated volume (Å³/f.u.): 74

Cell lengths 6.719, 6.735, 3.288 Å; angles 90.00, 90.00, 90.00 degrees
Space group Cmmm (No. 65)
Unique sites:
Cd: 0.000 0.000 0.000 [2 per cell]
Tc: 0.000 0.500 0.000 [2 per cell]
Se: 0.250 0.250 0.500 [4 per cell]

Record 4
Computed, not measured: a relaxed structure of CdTcSe2 at the PBE level of DFT.

Properties
Total magnetic moment (μB per cell): 0.0
Raw total energy (eV/atom): -4.704
E_form (uncorrected) (eV per atom): -0.14
Calculated volume (Å³/f.u.): 86

Cell lengths 3.1569, 3.1569, 29.9010 Å; angles 90.00, 90.00, 120.00 degrees
Space group R-3m (No. 166, hexagonal axes)
Unique sites:
Cd: 0.0000 0.0000 0.0000 [3 per cell]
Tc: 0.0000 0.0000 0.5000 [3 per cell]
Se: 0.0000 0.0000 0.1072 [6 per cell]

Please write out number 2 again, unchanged.
Computed, not measured: a relaxed structure of CdTcSe2 at the PBE level of DFT.

Properties
Total magnetic moment (μB per cell): 0.0
Raw total energy (eV/atom): -4.534
E_form (uncorrected) (eV per atom): 0.03
Calculated volume (Å³/f.u.): 104

Cell lengths 6.082, 6.082, 11.200 Å; angles 90.00, 90.00, 90.00 degrees
Space group I-42d (No. 122)
Unique sites:
Cd: 0.000 0.000 0.000 [4 per cell]
Tc: 0.000 0.000 0.500 [4 per cell]
Se: 0.204 0.250 0.625 [8 per cell]

Among the records above, which one has the highest total magnetic moment?
number 3

Which value of calculated volume does entry 2 give?
104 Å³/f.u.